Entry from Alexandria: a geometry-optimized CsMgHg2 structure (PBE-GGA).

Cell lengths 3.9284, 3.9284, 8.5208 Å; angles 90.00, 90.00, 90.00 degrees
Last column: nearest neighbours and their distance in Å.
Space group P4/mmm (No. 123)
Asymmetric unit:
Cs1 0.0000 0.0000 0.0000 (multiplicity 1)  8 Hg 3.89, 4 Cs 3.93, 2 Mg 4.26
Mg1 0.0000 0.0000 0.5000 (multiplicity 1)  8 Hg 3.18
Hg1 0.5000 0.5000 0.3194 (multiplicity 2)  1 Hg 3.08, 4 Mg 3.18

Summary:
Energy of formation ... -0.14 eV/atom
Total DFT energy (no corrections) ... -0.0661 Ry/atom
Total magnetization ... 0.00 μB per formula unit